VASP calculation (GGA+U) on an optimized crystal structure of BaSrNbWO6.

Properties
Energy, eV/atom: -7.663
Mass density, g/cm³: 6.92

a = 8.3100 Å, b = 8.3100 Å, c = 8.3100 Å
α = 90.00°, β = 90.00°, γ = 90.00°
Closest atoms and distances in Å follow each position.
Space group F-43m (No. 216)
Asymmetric unit:
Ba  0.0000  0.0000  0.0000 (multiplicity 4)  12 O 2.94
Sr  0.0000  0.0000  0.5000 (multiplicity 4)  12 O 2.94
Nb  0.2500  0.2500  0.2500 (multiplicity 4)  6 O 2.02
W  0.2500  0.2500  0.7500 (multiplicity 4)  6 O 2.14
O  0.0075  0.2500  0.2500 (multiplicity 24)  1 Nb 2.02, 1 W 2.14